Entry 1:
Pm2NpTc2N6 | Alexandria | PBE | optimized geometry; M_tot = 2.6 μB/cell; total energy = -9.0650 eV/atom; ΔE_f (raw) = -0.599 eV/atom
1.0
2.867 1.655 5.761
-2.867 1.655 5.761
0.000 -3.311 5.761
Pm Np Tc N
2 1 2 6
Cartesian
0.000 0.000 3.603 Pm
0.000 0.000 13.680 Pm
0.000 0.000 0.000 Np
0.000 0.000 6.841 Tc
0.000 0.000 10.442 Tc
-1.513 -0.874 9.903 N
0.000 -1.747 7.380 N
-1.513 0.874 7.380 N
1.513 -0.874 9.903 N
0.000 1.747 9.903 N
1.513 0.874 7.380 N

---

Entry 2:
PmNpTe2N | Alexandria | PBE | optimized geometry; M_tot = 5.6 μB/cell; total energy = -7.6334 eV/atom; ΔE_f (raw) = -1.173 eV/atom
1.0
4.065 0.000 0.000
0.000 4.065 0.000
0.000 0.000 16.510
Pm Np Te N
2 2 4 2
Cartesian
1.016 1.016 2.404 Pm
3.049 3.049 14.105 Pm
1.016 1.016 9.305 Np
3.049 3.049 7.205 Np
1.016 1.016 5.408 Te
1.016 1.016 15.182 Te
3.049 3.049 1.327 Te
3.049 3.049 11.102 Te
1.016 3.049 8.255 N
3.049 1.016 8.255 N

---

Entry 3:
Pm2ThNpN4 | Alexandria | PBE | optimized geometry; M_tot = 3.4 μB/cell; total energy = -9.2927 eV/atom; ΔE_f (raw) = -1.397 eV/atom
1.0
6.208 0.000 0.000
0.000 3.586 0.000
-2.059 0.000 5.861
Pm Th Np N
2 1 1 4
Cartesian
0.000 0.000 0.000 Pm
-1.029 1.793 2.930 Pm
2.075 0.000 2.930 Th
3.104 1.793 0.000 Np
1.151 1.793 1.431 N
0.109 0.000 4.505 N
4.040 0.000 1.356 N
2.998 1.793 4.430 N

---

Entry 4:
Pm2NpTiN5 | Alexandria | PBE | optimized geometry; M_tot = 4.0 μB/cell; total energy = -9.3353 eV/atom; ΔE_f (raw) = -1.339 eV/atom
1.0
1.737 -6.959 0.000
1.737 6.959 0.000
0.000 0.000 10.422
Pm Np Ti N
4 2 2 10
Cartesian
1.737 5.480 5.211 Pm
1.737 5.094 1.055 Pm
1.737 -5.094 6.266 Pm
1.737 -5.480 0.000 Pm
1.737 3.995 8.509 Np
1.737 -3.995 3.298 Np
1.737 0.206 2.839 Ti
1.737 -0.206 8.050 Ti
1.737 6.219 8.822 N
1.737 3.051 4.714 N
1.737 2.671 1.978 N
1.737 1.744 8.473 N
1.737 0.077 6.179 N
1.737 -0.077 0.967 N
1.737 -1.744 3.262 N
1.737 -2.671 7.190 N
1.737 -3.051 9.925 N
1.737 -6.219 3.610 N

---

Entry 5:
PmNpTiN3 | Alexandria | PBE | optimized geometry; M_tot = 7.4 μB/cell; total energy = -9.5463 eV/atom; ΔE_f (raw) = -1.119 eV/atom
1.0
7.176 0.000 0.000
0.000 3.513 0.000
-0.808 0.000 7.662
Pm Np Ti N
2 2 2 6
Cartesian
0.984 0.878 1.273 Pm
5.385 2.635 6.390 Pm
1.966 2.635 6.392 Np
4.402 0.878 1.270 Np
0.316 0.878 4.552 Ti
6.052 2.635 3.110 Ti
0.168 0.878 6.521 N
0.808 2.635 3.795 N
2.845 2.635 0.920 N
3.523 0.878 6.742 N
5.561 0.878 3.868 N
6.200 2.635 1.142 N

---

Entry 6:
Pm3Tm2NpN6 | Alexandria | PBE | optimized geometry; M_tot = 2.4 μB/cell; total energy = -8.6992 eV/atom; ΔE_f (raw) = -1.525 eV/atom
1.0
3.017 -5.228 0.000
3.017 5.228 0.000
-2.011 0.000 5.756
Pm Tm Np N
3 2 1 6
Cartesian
0.000 0.000 0.000 Pm
3.017 1.762 0.000 Pm
3.017 -1.762 0.000 Pm
2.012 3.487 2.878 Tm
2.012 -3.487 2.878 Tm
2.012 0.000 2.878 Np
1.050 1.667 1.587 N
0.090 0.000 4.173 N
1.050 -1.667 1.587 N
2.973 1.667 4.169 N
3.933 0.000 1.582 N
2.973 -1.667 4.169 N

---

| no. | Fermi-level density of states (states/eV/f.u.) |
| --- | --- |
| 1 | 9.08 |
| 2 | 9.71 |
| 3 | 8.78 |
| 4 | 5.79 |
| 5 | 7.88 |
| 6 | 5.73 |